# Eu3PO, optimized geometry, DFT PBE
data_Eu3PO
_symmetry_space_group_name_H-M 'P m -3 m'
_symmetry_Int_Tables_number 221
_symmetry_space_group_name_Hall '-P 4 2 3'
_cell_length_a 4.866
_cell_length_b 4.866
_cell_length_c 4.866
_cell_angle_alpha 90.00
_cell_angle_beta 90.00
_cell_angle_gamma 90.00
loop_
_atom_site_label
_atom_site_fract_x
_atom_site_fract_y
_atom_site_fract_z
Eu1 0.000 0.000 0.500
P1 0.500 0.500 0.500
O1 0.000 0.000 0.000
# - electronic total energy (eV per atom) = -9.73
# - size of the total moment (μB/f.u.) = 21.8
# - E_form (uncorrected) (eV/atom) = -1.493
# - ρ (g/cm3) = 7.2